Below is crystalline NaPmSnPb at its relaxed geometry, with properties calculated at the PBE level.

As for the crystal system: orthorhombic. The calculation puts the total energy at -3.88 eV per atom. Its density is 7.42 g/cm3. As for the energy above the most stable polymorph in this dataset: 0 meV/atom. For the formation enthalpy at 0 K, the calculation gives -430.6 meV per atom.

abc: 4.602 4.849 4.951
angles: 90.00 90.00 90.00
Positions (direct):
Na1 0.000 0.000 0.000
Pm1 0.000 0.500 0.500
Sn1 0.500 0.000 0.500
Pb1 0.500 0.500 0.000

Below is crystalline NaPmSnPb at its relaxed geometry, with properties calculated at the PBE level.

As for the crystal system: cubic. The calculation puts the total energy at -3.76 eV per atom. Its density is 7.15 g/cm3. As for the energy above the most stable polymorph in this dataset: 118 meV/atom. For the formation enthalpy at 0 K, the calculation gives -313.1 meV per atom.

abc: 5.454 5.454 5.454
angles: 60.00 60.00 60.00
Positions (direct):
Na1 0.000 0.000 0.000
Pm1 0.500 0.500 0.500
Sn1 0.750 0.750 0.750
Pb1 0.250 0.250 0.250

Below is crystalline NaPm2Te6Pb3 at its relaxed geometry, with properties calculated at the PBE level.

As for the uncorrected formation energy: -9.88 eV per formula unit. As for the crystal system: monoclinic. The calculation puts the total energy at -4.22 eV per atom. Its density is 6.90 g/cm3.

abc: 10.311 10.311 9.305
angles: 104.08 104.08 25.30
Positions (direct):
Na1 0.000 0.000 0.000
Pm1 0.333 0.333 0.655
Pm2 0.667 0.667 0.345
Te1 0.169 0.169 0.589
Te2 0.174 0.174 0.104
Te3 0.494 0.494 0.748
Te4 0.506 0.506 0.252
Te5 0.826 0.826 0.896
Te6 0.831 0.831 0.411
Pb1 0.000 0.000 0.500
Pb2 0.342 0.342 0.151
Pb3 0.658 0.658 0.849

Below is crystalline NaPmTe4Pb2 at its relaxed geometry, with properties calculated at the PBE level.

As for the uncorrected formation energy: -6.64 eV per formula unit. As for the crystal system: monoclinic. The calculation puts the total energy at -4.09 eV per atom. Its density is 6.64 g/cm3.

abc: 7.905 4.577 7.977
angles: 90.00 108.79 90.00
Positions (direct):
Na1 0.000 0.000 0.000
Pm1 0.500 0.500 0.000
Te1 0.255 0.500 0.243
Te2 0.257 0.000 0.760
Te3 0.743 0.000 0.240
Te4 0.745 0.500 0.757
Pb1 0.000 0.500 0.500
Pb2 0.500 0.000 0.500

Copy entry 3 word for word.
Below is crystalline NaPm2Te6Pb3 at its relaxed geometry, with properties calculated at the PBE level.

As for the uncorrected formation energy: -9.88 eV per formula unit. As for the crystal system: monoclinic. The calculation puts the total energy at -4.22 eV per atom. Its density is 6.90 g/cm3.

abc: 10.311 10.311 9.305
angles: 104.08 104.08 25.30
Positions (direct):
Na1 0.000 0.000 0.000
Pm1 0.333 0.333 0.655
Pm2 0.667 0.667 0.345
Te1 0.169 0.169 0.589
Te2 0.174 0.174 0.104
Te3 0.494 0.494 0.748
Te4 0.506 0.506 0.252
Te5 0.826 0.826 0.896
Te6 0.831 0.831 0.411
Pb1 0.000 0.000 0.500
Pb2 0.342 0.342 0.151
Pb3 0.658 0.658 0.849